# 1
Entry from Alexandria via LeMat-Bulk: a relaxed structure of HfPd2Au2 (PBE).

The structure in extended XYZ format:
```
10
Lattice="-2.3617 2.8728 6.5445 2.3617 -2.8728 6.5445 2.3617 2.8728 -6.5445" Properties=species:S:1:pos:R:3 pbc="T T T"
Hf 0.0000 1.4364 1.7877
Hf 2.3617 1.4364 4.7569
Pd 2.3617 -0.0260 2.4644
Pd 2.3617 2.8468 -2.4644
Pd 0.0000 0.0260 9.0089
Pd 0.0000 2.8988 4.0802
Au 2.3617 -1.4364 5.0364
Au 2.3617 1.4364 0.0873
Au 0.0000 1.4364 6.4573
Au 0.0000 4.3092 1.5081
```

Properties
Crystal system   orthorhombic
Space group   Imma, No. 74
DFT formation energy   -0.4986 eV per atom



# 2
Entry from Alexandria via LeMat-Bulk: a relaxed structure of SrMgMn2 (PBE).

The structure in extended XYZ format:
```
8
Lattice="10.9802 0.0000 0.0000 0.0000 3.2217 0.0000 -1.5997 0.0000 5.2200" Properties=species:S:1:pos:R:3 pbc="T T T"
Sr 0.0000 0.0000 0.0000
Sr 5.4901 1.6109 0.0000
Mg 2.6049 1.6109 1.9115
Mg 8.0950 0.0000 1.9115
Mn -0.4059 1.6109 2.7364
Mn 1.2880 0.0000 4.0299
Mn 5.0842 0.0000 2.7364
Mn 6.7781 1.6109 4.0299
```

Properties
Crystal system   monoclinic
Space group   Cm, No. 8
DFT formation energy   0.5641 eV per atom



E_tot? In order: -58.8 -38.7 eV/cell.